No. 1
Here is VRu2 after structural relaxation from Alexandria. Energies are from GGA-PBE.

The space group is I4/mmm (No. 139) and the conventional cell measures 2.967, 2.967 and 9.529 Å, with angles of 90.00, 90.00 and 90.00 degrees. The distinct sites, in fractional coordinates, are V at (0.000, 0.000, 0.000) and Ru at (0.000, 0.000, 0.350).

The calculated formation energy is -11 kJ/mol of formula units. The calculation puts the magnetic moment at 0.00 μB per formula unit.

No. 2
Here is Na3Cd2 after structural relaxation from Alexandria. Energies are from GGA-PBE.

The space group is R-3c (No. 167, hexagonal axes) and the conventional cell measures 6.6063, 6.6063 and 23.7973 Å, with angles of 90.00, 90.00 and 120.00 degrees. The distinct sites, in fractional coordinates, are Na at (0.0000, 0.4991, 0.2500) and Cd at (0.0000, 0.0000, 0.1900).

The calculated formation energy is -3 kJ/mol of formula units. Its energy relative to the lowest polymorph listed for this composition is 0.062 eV per atom. The calculation puts the magnetic moment at 0.00 μB per formula unit.

No. 3
Here is TmTl5F8 after structural relaxation from Alexandria. Energies are from GGA-PBE.

The space group is C2 (No. 5) and the conventional cell measures 11.126, 8.732 and 7.861 Å, with angles of 90.00, 134.52 and 90.00 degrees. The distinct sites, in fractional coordinates, are Tm at (0.000, 0.000, 0.000), Tl at (0.000, 0.804, 0.500), Tl at (0.111, 0.366, 0.869), Tl at (0.224, 0.630, 0.347), F at (0.065, 0.784, 0.904), F at (0.067, 0.075, 0.801), F at (0.166, 0.214, 0.215) and F at (0.245, 0.419, 0.661).

The calculation puts the uncorrected formation energy at -2.428 eV/atom. The calculation puts the magnetic moment at 0.00 μB per formula unit.

No. 4
Here is Pr4AgTe3 after structural relaxation from Alexandria. Energies are from GGA-PBE.

The space group is Cmmm (No. 65) and the conventional cell measures 9.120, 12.752 and 4.440 Å, with angles of 90.00, 90.00 and 90.00 degrees. The distinct sites, in fractional coordinates, are Pr at (0.000, 0.249, 0.000), Pr at (0.243, 0.000, 0.500), Ag at (0.000, 0.000, 0.000), Te at (0.000, 0.500, 0.000) and Te at (0.250, 0.250, 0.500).

The calculation puts the uncorrected formation energy at -1.131 eV/atom. The calculation puts the magnetic moment at 0.00 μB per formula unit.

No. 5
Here is KNaIn after structural relaxation from Alexandria. Energies are from GGA-PBE.

The space group is I4mm (No. 107) and the conventional cell measures 4.077, 4.077 and 13.544 Å, with angles of 90.00, 90.00 and 90.00 degrees. The distinct sites, in fractional coordinates, are K at (0.000, 0.000, 0.000), Na at (0.000, 0.000, 0.291) and In at (0.000, 0.000, 0.676).

The calculated formation energy is 1 kJ/mol of formula units. Its energy relative to the lowest polymorph listed for this composition is 0.063 eV per atom. The calculation puts the magnetic moment at 0.00 μB per formula unit.

No. 6
Here is LaPrEuDy after structural relaxation from Alexandria. Energies are from GGA-PBE.

The space group is F-43m (No. 216) and the conventional cell measures 8.345, 8.345 and 8.345 Å, with angles of 90.00, 90.00 and 90.00 degrees. The distinct sites, in fractional coordinates, are La at (0.000, 0.000, 0.000), Pr at (0.000, 0.000, 0.500), Eu at (0.250, 0.250, 0.750) and Dy at (0.250, 0.250, 0.250).

The calculated formation energy is 47 kJ/mol of formula units. The calculation puts the magnetic moment at 7.73 μB per formula unit.

Number 1: electronic total energy -9.263 eV per atom. Number 2: electronic total energy -1.164 eV per atom. Number 3: electronic total energy -4.662 eV per atom. Number 4: electronic total energy -5.055 eV per atom. Number 5: electronic total energy -1.714 eV per atom. Number 6: electronic total energy -6.025 eV per atom.